{"formula": "YIn2Re", "functional": "SCAN", "state": "single point on PBEsol structure", "formation_enthalpy_0k_ev_per_atom": 0.395, "dos_at_fermi_per_ev_cell": 4.0, "cell": [[3.2672, 0.0000, 0.0000], [1.6336, 2.8295, 0.0000], [1.6336, 0.9432, 9.5223]], "species": ["In", "In", "Re", "Y"], "fractional_positions": [[0.0026, 0.0026, 0.9922], [0.7597, 0.7597, 0.7210], [0.4994, 0.4994, 0.5018], [0.2384, 0.2384, 0.2849]]}